Entry from Alexandria via LeMat-Bulk: a relaxed structure of UCuAg (PBE).

Unit cell a=7.172 b=7.172 c=7.172 alpha=37.71 beta=37.71 gamma=37.71
Fractional positions:
U 0.000 0.000 0.000
U 0.120 0.120 0.120
Cu 0.404 0.404 0.404
Cu 0.725 0.725 0.725
Ag 0.266 0.266 0.266
Ag 0.548 0.548 0.548

Values from the calculation:
DFT formation energy	0.3882	eV per atom
size of the total moment	0.033	μB/atom